[1]
A geometry-optimized Si2IrBr structure. Source: Alexandria, functional PBEsol.

Lattice parameters (Å, degrees): 7.127 7.127 7.127 28.71 28.71 28.71
Atoms (fractional coordinates):
Si (0.228, 0.228, 0.228)
Si (0.772, 0.772, 0.772)
Ir (0.500, 0.500, 0.500)
Br (0.000, 0.000, 0.000)

- Fermi-level density of states: 1.52 states/eV/f.u.
- Total magnetization: 0.00 μB per cell
- ΔE to the lowest computed polymorph: 0.150 eV per atom
- ΔE_f (raw): -0.10 eV per atom

=====

[2]
A geometry-optimized Si2IrBr structure. Source: Alexandria, functional PBEsol.

Lattice parameters (Å, degrees): 4.421 4.421 4.421 109.84 109.84 108.74
Atoms (fractional coordinates):
Si (0.000, 0.500, 0.500)
Si (0.500, 0.000, 0.500)
Ir (0.000, 0.000, 0.000)
Br (0.500, 0.500, 0.000)

- Fermi-level density of states: 2.00 states/eV/f.u.
- Total magnetization: 0.00 μB per cell
- ΔE to the lowest computed polymorph: 0.583 eV per atom
- ΔE_f (raw): 0.34 eV per atom

=====

[3]
A geometry-optimized Si2IrBr structure. Source: Alexandria, functional PBEsol.

Lattice parameters (Å, degrees): 3.672 3.672 4.805 90.00 90.00 90.00
Atoms (fractional coordinates):
Si (0.000, 0.500, 0.000)
Si (0.500, 0.000, 0.000)
Ir (0.000, 0.000, 0.500)
Br (0.500, 0.500, 0.500)

- Fermi-level density of states: 2.18 states/eV/f.u.
- Total magnetization: 0.00 μB per cell
- ΔE to the lowest computed polymorph: 1.024 eV per atom
- ΔE_f (raw): 0.78 eV per atom

=====

[4]
A geometry-optimized Si2IrBr structure. Source: Alexandria, functional PBEsol.

Lattice parameters (Å, degrees): 2.873 4.589 4.753 90.00 90.00 90.00
Atoms (fractional coordinates):
Si (0.000, 0.000, 0.000)
Si (0.500, 0.500, 0.000)
Ir (0.000, 0.500, 0.500)
Br (0.500, 0.000, 0.500)

- Fermi-level density of states: 1.99 states/eV/f.u.
- Total magnetization: 0.00 μB per cell
- ΔE to the lowest computed polymorph: 0.896 eV per atom
- ΔE_f (raw): 0.65 eV per atom

=====

[5]
A geometry-optimized TiSn2IrBr structure. Source: Alexandria, functional PBEsol.

Lattice parameters (Å, degrees): 5.198 5.198 4.469 90.00 90.00 90.00
Atoms (fractional coordinates):
Ti (0.000, 0.000, 0.000)
Sn (0.000, 0.500, 0.500)
Sn (0.500, 0.000, 0.500)
Ir (0.500, 0.500, 0.000)
Br (0.000, 0.000, 0.500)

- Fermi-level density of states: 3.63 states/eV/f.u.
- Total magnetization: 0.00 μB per cell
- ΔE_f (raw): 1.29 eV per atom

=====

[6]
A geometry-optimized SrIr2Br structure. Source: Alexandria, functional PBEsol.

Lattice parameters (Å, degrees): 7.763 7.763 7.763 30.76 30.76 30.76
Atoms (fractional coordinates):
Sr (0.000, 0.000, 0.000)
Ir (0.440, 0.440, 0.440)
Ir (0.772, 0.772, 0.772)
Br (0.252, 0.252, 0.252)

- Fermi-level density of states: 2.49 states/eV/f.u.
- Total magnetization: 0.00 μB per cell
- ΔE to the lowest computed polymorph: 0.000 eV per atom
- ΔE_f (raw): -0.13 eV per atom

=====

[7]
A geometry-optimized SrIrBr2 structure. Source: Alexandria, functional PBEsol.

Lattice parameters (Å, degrees): 3.608 3.608 7.575 90.00 90.00 90.00
Atoms (fractional coordinates):
Sr (0.000, 0.000, 0.000)
Ir (0.500, 0.500, 0.686)
Br (0.000, 0.000, 0.619)
Br (0.500, 0.500, 0.225)

- Fermi-level density of states: 1.09 states/eV/f.u.
- Total magnetization: 0.00 μB per cell
- ΔE to the lowest computed polymorph: 0.000 eV per atom
- ΔE_f (raw): -0.38 eV per atom

=====

[8]
A geometry-optimized SrIr2Br structure. Source: Alexandria, functional PBEsol.

Lattice parameters (Å, degrees): 2.996 4.764 5.229 90.00 90.00 90.00
Atoms (fractional coordinates):
Sr (0.000, 0.000, 0.000)
Ir (0.000, 0.500, 0.500)
Ir (0.500, 0.000, 0.500)
Br (0.500, 0.500, 0.000)

- Fermi-level density of states: 4.61 states/eV/f.u.
- Total magnetization: 0.00 μB per cell
- ΔE to the lowest computed polymorph: 0.442 eV per atom
- ΔE_f (raw): 0.31 eV per atom

=====

[9]
A geometry-optimized SrIr2Br structure. Source: Alexandria, functional PBEsol.

Lattice parameters (Å, degrees): 6.462 6.462 6.462 145.77 145.77 49.19
Atoms (fractional coordinates):
Sr (0.000, 0.000, 0.000)
Ir (0.250, 0.750, 0.500)
Ir (0.750, 0.250, 0.500)
Br (0.500, 0.500, 0.000)

- Fermi-level density of states: 4.42 states/eV/f.u.
- Total magnetization: 0.00 μB per cell
- ΔE to the lowest computed polymorph: 0.448 eV per atom
- ΔE_f (raw): 0.32 eV per atom

=====

[10]
A geometry-optimized Sr2IrBr2 structure. Source: Alexandria, functional PBEsol.

Lattice parameters (Å, degrees): 8.090 8.090 8.090 147.26 147.26 46.98
Atoms (fractional coordinates):
Sr (0.119, 0.119, 0.000)
Sr (0.881, 0.881, 0.000)
Ir (0.500, 0.500, 0.000)
Br (0.250, 0.750, 0.500)
Br (0.750, 0.250, 0.500)

- Fermi-level density of states: 3.33 states/eV/f.u.
- Total magnetization: 1.00 μB per cell
- ΔE_f (raw): -0.44 eV per atom

=====

[11]
A geometry-optimized SrIrBr2 structure. Source: Alexandria, functional PBEsol.

Lattice parameters (Å, degrees): 3.657 3.657 6.787 90.00 90.00 90.00
Atoms (fractional coordinates):
Sr (0.000, 0.000, 0.000)
Ir (0.000, 0.000, 0.500)
Br (0.500, 0.500, 0.259)
Br (0.500, 0.500, 0.741)

- Fermi-level density of states: 5.18 states/eV/f.u.
- Total magnetization: 1.18 μB per cell
- ΔE to the lowest computed polymorph: 0.499 eV per atom
- ΔE_f (raw): 0.12 eV per atom

=====

[12]
A geometry-optimized Tb6IrBr10 structure. Source: Alexandria, functional PBEsol.

Lattice parameters (Å, degrees): 7.232 9.018 9.067 108.27 97.05 105.69
Atoms (fractional coordinates):
Tb (0.029, 0.198, 0.404)
Tb (0.127, 0.546, 0.249)
Tb (0.371, 0.641, 0.683)
Tb (0.629, 0.359, 0.317)
Tb (0.873, 0.454, 0.751)
Tb (0.971, 0.802, 0.596)
Ir (0.000, 0.500, 0.500)
Br (0.088, 0.871, 0.325)
Br (0.207, 0.237, 0.143)
Br (0.258, 0.583, 0.960)
Br (0.361, 0.963, 0.776)
Br (0.450, 0.320, 0.586)
Br (0.550, 0.680, 0.414)
Br (0.639, 0.037, 0.224)
Br (0.742, 0.417, 0.040)
Br (0.793, 0.763, 0.857)
Br (0.912, 0.129, 0.675)

- Fermi-level density of states: 11.82 states/eV/f.u.
- Total magnetization: 0.43 μB per cell
- ΔE_f (raw): -1.62 eV per atom

=====

[13]
A geometry-optimized TcIr2Br structure. Source: Alexandria, functional PBEsol.

Lattice parameters (Å, degrees): 4.760 4.760 4.760 130.90 130.90 71.98
Atoms (fractional coordinates):
Tc (0.000, 0.000, 0.000)
Ir (0.250, 0.750, 0.500)
Ir (0.750, 0.250, 0.500)
Br (0.500, 0.500, 0.000)

- Fermi-level density of states: 3.29 states/eV/f.u.
- Total magnetization: 0.00 μB per cell
- ΔE to the lowest computed polymorph: 0.074 eV per atom
- ΔE_f (raw): 0.96 eV per atom

=====

[14]
A geometry-optimized TcIr2Br structure. Source: Alexandria, functional PBEsol.

Lattice parameters (Å, degrees): 2.793 4.633 4.682 90.00 90.00 90.00
Atoms (fractional coordinates):
Tc (0.000, 0.000, 0.000)
Ir (0.000, 0.500, 0.500)
Ir (0.500, 0.000, 0.500)
Br (0.500, 0.500, 0.000)

- Fermi-level density of states: 5.06 states/eV/f.u.
- Total magnetization: 1.13 μB per cell
- ΔE to the lowest computed polymorph: 0.000 eV per atom
- ΔE_f (raw): 0.89 eV per atom

=====

[15]
A geometry-optimized Te3IrBr structure. Source: Alexandria, functional PBEsol.

Lattice parameters (Å, degrees): 5.307 5.307 5.307 90.00 90.00 90.00
Atoms (fractional coordinates):
Te (0.000, 0.000, 0.500)
Te (0.000, 0.500, 0.000)
Te (0.500, 0.000, 0.000)
Ir (0.500, 0.500, 0.500)
Br (0.000, 0.000, 0.000)

- Fermi-level density of states: 7.30 states/eV/f.u.
- Total magnetization: 2.04 μB per cell
- ΔE_f (raw): 1.82 eV per atom

=====

[16]
A geometry-optimized TeIr3Br structure. Source: Alexandria, functional PBEsol.

Lattice parameters (Å, degrees): 4.855 4.855 4.855 90.00 90.00 90.00
Atoms (fractional coordinates):
Te (0.000, 0.000, 0.000)
Ir (0.000, 0.000, 0.500)
Ir (0.000, 0.500, 0.000)
Ir (0.500, 0.000, 0.000)
Br (0.500, 0.500, 0.500)

- Fermi-level density of states: 10.83 states/eV/f.u.
- Total magnetization: 0.54 μB per cell
- ΔE_f (raw): 2.01 eV per atom

=====

[17]
A geometry-optimized TlTeIrBr2 structure. Source: Alexandria, functional PBEsol.

Lattice parameters (Å, degrees): 4.915 4.915 5.431 90.00 90.00 90.00
Atoms (fractional coordinates):
Tl (0.000, 0.000, 0.000)
Te (0.500, 0.500, 0.000)
Ir (0.000, 0.000, 0.500)
Br (0.000, 0.500, 0.500)
Br (0.500, 0.000, 0.500)

- Fermi-level density of states: 5.62 states/eV/f.u.
- Total magnetization: 0.00 μB per cell
- ΔE_f (raw): 0.36 eV per atom

=====

[18]
A geometry-optimized TiIr2Br structure. Source: Alexandria, functional PBEsol.

Lattice parameters (Å, degrees): 4.471 4.471 4.471 60.00 60.00 60.00
Atoms (fractional coordinates):
Ti (0.000, 0.000, 0.000)
Ir (0.250, 0.250, 0.250)
Ir (0.750, 0.750, 0.750)
Br (0.500, 0.500, 0.500)

- Fermi-level density of states: 6.23 states/eV/f.u.
- Total magnetization: 0.54 μB per cell
- ΔE_f (raw): 0.50 eV per atom

=====

[19]
A geometry-optimized TlIrBr structure. Source: Alexandria, functional PBEsol.

Lattice parameters (Å, degrees): 4.669 4.669 4.669 60.00 60.00 60.00
Atoms (fractional coordinates):
Tl (0.000, 0.000, 0.000)
Ir (0.250, 0.250, 0.250)
Br (0.750, 0.750, 0.750)

- Fermi-level density of states: 3.37 states/eV/f.u.
- Total magnetization: 0.54 μB per cell
- ΔE to the lowest computed polymorph: 0.615 eV per atom
- ΔE_f (raw): 1.24 eV per atom

=====

[20]
A geometry-optimized TlIrBr structure. Source: Alexandria, functional PBEsol.

Lattice parameters (Å, degrees): 7.272 6.941 3.214 82.77 71.22 26.01
Atoms (fractional coordinates):
Tl (0.000, 0.000, 0.000)
Ir (0.663, 0.663, 0.337)
Br (0.303, 0.303, 0.697)

- Fermi-level density of states: 2.64 states/eV/f.u.
- Total magnetization: 0.00 μB per cell
- ΔE to the lowest computed polymorph: 0.066 eV per atom
- ΔE_f (raw): 0.69 eV per atom

=====

[21]
A geometry-optimized TlIrBr2 structure. Source: Alexandria, functional PBEsol.

Lattice parameters (Å, degrees): 3.455 3.455 7.875 90.00 90.00 90.00
Atoms (fractional coordinates):
Tl (0.000, 0.000, 0.000)
Ir (0.500, 0.500, 0.666)
Br (0.000, 0.000, 0.579)
Br (0.500, 0.500, 0.239)

- Fermi-level density of states: 1.94 states/eV/f.u.
- Total magnetization: 0.00 μB per cell
- ΔE to the lowest computed polymorph: 0.106 eV per atom
- ΔE_f (raw): 0.40 eV per atom

=====

[22]
A geometry-optimized Tl2IrBr structure. Source: Alexandria, functional PBEsol.

Lattice parameters (Å, degrees): 3.388 4.143 7.568 90.00 90.00 90.00
Atoms (fractional coordinates):
Tl (0.000, 0.000, 0.000)
Tl (0.500, 0.500, 0.389)
Ir (0.500, 0.500, 0.036)
Br (0.000, 0.000, 0.591)

- Fermi-level density of states: 2.97 states/eV/f.u.
- Total magnetization: 0.45 μB per cell
- ΔE_f (raw): 0.26 eV per atom

=====

[23]
A geometry-optimized TlIrBr2 structure. Source: Alexandria, functional PBEsol.

Lattice parameters (Å, degrees): 3.521 3.521 8.981 90.00 90.00 118.77
Atoms (fractional coordinates):
Tl (0.000, 0.000, 0.000)
Ir (0.000, 0.000, 0.500)
Br (0.500, 0.500, 0.313)
Br (0.500, 0.500, 0.687)

- Fermi-level density of states: 2.57 states/eV/f.u.
- Total magnetization: 0.00 μB per cell
- ΔE to the lowest computed polymorph: 0.000 eV per atom
- ΔE_f (raw): 0.29 eV per atom

=====

[24]
A geometry-optimized TlIr3Br structure. Source: Alexandria, functional PBEsol.

Lattice parameters (Å, degrees): 4.973 4.973 4.973 90.00 90.00 90.00
Atoms (fractional coordinates):
Tl (0.000, 0.000, 0.000)
Ir (0.000, 0.000, 0.500)
Ir (0.000, 0.500, 0.000)
Ir (0.500, 0.000, 0.000)
Br (0.500, 0.500, 0.500)

- Fermi-level density of states: 9.08 states/eV/f.u.
- Total magnetization: 3.73 μB per cell
- ΔE_f (raw): 2.68 eV per atom

=====

[25]
A geometry-optimized TlIrBr structure. Source: Alexandria, functional PBEsol.

Lattice parameters (Å, degrees): 4.559 4.559 3.297 90.00 90.00 120.00
Atoms (fractional coordinates):
Tl (0.000, 0.000, 0.000)
Ir (0.667, 0.333, 0.500)
Br (0.333, 0.667, 0.500)

- Fermi-level density of states: 2.39 states/eV/f.u.
- Total magnetization: 0.00 μB per cell
- ΔE to the lowest computed polymorph: 0.000 eV per atom
- ΔE_f (raw): 0.62 eV per atom

=====

[26]
A geometry-optimized TlIr2Br structure. Source: Alexandria, functional PBEsol.

Lattice parameters (Å, degrees): 6.481 6.481 6.481 154.10 140.25 48.05
Atoms (fractional coordinates):
Tl (0.000, 0.000, 0.000)
Ir (0.590, 0.590, 0.000)
Ir (0.776, 0.276, 0.500)
Br (0.283, 0.783, 0.500)

- Fermi-level density of states: 4.60 states/eV/f.u.
- Total magnetization: 0.00 μB per cell
- ΔE to the lowest computed polymorph: 0.000 eV per atom
- ΔE_f (raw): 0.78 eV per atom

=====

[27]
A geometry-optimized TlIr2Br structure. Source: Alexandria, functional PBEsol.

Lattice parameters (Å, degrees): 4.828 4.828 4.828 127.15 127.15 78.00
Atoms (fractional coordinates):
Tl (0.000, 0.000, 0.000)
Ir (0.250, 0.750, 0.500)
Ir (0.750, 0.250, 0.500)
Br (0.500, 0.500, 0.000)

- Fermi-level density of states: 4.37 states/eV/f.u.
- Total magnetization: 0.00 μB per cell
- ΔE to the lowest computed polymorph: 0.288 eV per atom
- ΔE_f (raw): 1.06 eV per atom

=====

[28]
A geometry-optimized Tl3IrBr structure. Source: Alexandria, functional PBEsol.

Lattice parameters (Å, degrees): 5.240 5.240 5.240 90.00 90.00 90.00
Atoms (fractional coordinates):
Tl (0.000, 0.000, 0.500)
Tl (0.000, 0.500, 0.000)
Tl (0.500, 0.000, 0.000)
Ir (0.000, 0.000, 0.000)
Br (0.500, 0.500, 0.500)

- Fermi-level density of states: 1.69 states/eV/f.u.
- Total magnetization: 0.00 μB per cell
- ΔE_f (raw): -0.19 eV per atom

=====

[29]
A geometry-optimized IrWBr4 structure. Source: Alexandria, functional PBEsol.

Lattice parameters (Å, degrees): 5.684 5.684 5.684 60.00 60.00 60.00
Atoms (fractional coordinates):
Ir (0.000, 0.000, 0.000)
W (0.750, 0.750, 0.750)
Br (0.375, 0.375, 0.375)
Br (0.375, 0.375, 0.875)
Br (0.375, 0.875, 0.375)
Br (0.875, 0.375, 0.375)

- Fermi-level density of states: 8.28 states/eV/f.u.
- Total magnetization: 1.92 μB per cell
- ΔE_f (raw): 2.17 eV per atom

=====

[30]
A geometry-optimized YIrBr2 structure. Source: Alexandria, functional PBEsol.

Lattice parameters (Å, degrees): 4.816 4.816 4.816 60.00 60.00 60.00
Atoms (fractional coordinates):
Y (0.000, 0.000, 0.000)
Ir (0.500, 0.500, 0.500)
Br (0.250, 0.250, 0.250)
Br (0.750, 0.750, 0.750)

- Fermi-level density of states: 4.45 states/eV/f.u.
- Total magnetization: 0.00 μB per cell
- ΔE to the lowest computed polymorph: 0.102 eV per atom
- ΔE_f (raw): -0.14 eV per atom